Entry 1:
DFT (PBE) results for crystalline LaTiAu at its relaxed geometry.

Results
N(E_F)	5.09	states/eV/cell
final energy	-5.618	eV per atom
E_form	-0.25	eV per atom
relative energy among the computed polymorphs	119	meV per atom
size of the total moment	0.00	Bohr magnetons per cell

abc: 4.9494 5.2874 5.8758
angles: 116.73 90.00 90.00
Sites, in units of the cell vectors:
La (0.2782, 0.3236, 0.0065)
La (0.7782, 0.7170, 0.0066)
Au (0.2782, 0.0506, 0.3861)
Au (0.2782, 0.6709, 0.6267)
Ti (0.7782, 0.9375, 0.5849)
Ti (0.7782, 0.3592, 0.4283)

Entry 2:
DFT (PBE) results for crystalline LaTiAu at its relaxed geometry.

Results
N(E_F)	11.80	states/eV/cell
final energy	-5.592	eV per atom
E_form	-0.23	eV per atom
relative energy among the computed polymorphs	145	meV per atom
size of the total moment	0.00	Bohr magnetons per cell

abc: 7.7574 8.9107 4.4769
angles: 90.00 90.00 90.00
Sites, in units of the cell vectors:
La (0.5000, 0.0000, 0.5000)
La (0.0000, 0.0000, 0.0000)
La (0.0000, 0.5000, 0.0000)
La (0.5000, 0.5000, 0.5000)
Au (0.3336, 0.7500, 0.0000)
Au (0.6664, 0.2500, 0.0000)
Au (0.1664, 0.2500, 0.5000)
Au (0.8336, 0.7500, 0.5000)
Ti (0.8331, 0.2500, 0.5000)
Ti (0.1669, 0.7500, 0.5000)
Ti (0.3331, 0.2500, 0.0000)
Ti (0.6669, 0.7500, 0.0000)

Entry 3:
DFT (PBE) results for crystalline LaTi2Au2 at its relaxed geometry.

Results
N(E_F)	6.43	states/eV/cell
final energy	-5.798	eV per atom
E_form	-0.34	eV per atom
relative energy among the computed polymorphs	0	meV per atom
size of the total moment	3.54	Bohr magnetons per cell

abc: 4.1142 4.1142 7.2270
angles: 73.46 73.46 90.00
Site moments in Bohr magnetons follow the coordinates.
Sites, in units of the cell vectors:
La (0.0000, 0.0000, 0.0000)  0.14
Ti (0.7500, 0.2500, 0.5000)  1.15
Ti (0.2500, 0.7500, 0.5000)  1.15
Au (0.6088, 0.6088, 0.7823)  0.09
Au (0.3912, 0.3912, 0.2177)  0.09

Entry 4:
DFT (PBE) results for crystalline LaTi3Au at its relaxed geometry.

Results
N(E_F)	7.41	states/eV/cell
final energy	-5.213	eV per atom
E_form	1.16	eV per atom
relative energy among the computed polymorphs	694	meV per atom
size of the total moment	0.00	Bohr magnetons per cell

abc: 4.7421 4.7421 4.7421
angles: 90.00 90.00 90.00
Sites, in units of the cell vectors:
La (0.0000, 0.0000, 0.0000)
Ti (0.5000, 0.0000, 0.0000)
Ti (0.0000, 0.0000, 0.5000)
Ti (0.0000, 0.5000, 0.0000)
Au (0.5000, 0.5000, 0.5000)

Entry 5:
DFT (PBE) results for crystalline LaTiAu at its relaxed geometry.

Results
N(E_F)	9.58	states/eV/cell
final energy	-5.680	eV per atom
E_form	-0.31	eV per atom
relative energy among the computed polymorphs	57	meV per atom
size of the total moment	0.00	Bohr magnetons per cell

abc: 3.6211 6.5284 6.4070
angles: 90.00 90.00 106.05
Sites, in units of the cell vectors:
Au (0.0990, 0.8181, 0.8300)
Au (0.2908, 0.2015, 0.3300)
Ti (0.6948, 0.0098, 0.0801)
Ti (0.6948, 0.0098, 0.5801)
La (0.3894, 0.3974, 0.8300)
La (0.0004, 0.6223, 0.3300)

Entry 6:
DFT (PBE) results for crystalline LaTi2Au2 at its relaxed geometry.

Results
N(E_F)	14.50	states/eV/cell
final energy	-5.640	eV per atom
E_form	-0.19	eV per atom
relative energy among the computed polymorphs	157	meV per atom
size of the total moment	2.64	Bohr magnetons per cell

abc: 8.0731 8.0731 3.1950
angles: 90.00 90.00 90.00
Site moments in Bohr magnetons follow the coordinates.
Sites, in units of the cell vectors:
Au (0.1264, 0.3736, 0.0000)  0.03
Au (0.8736, 0.6264, 0.0000)  0.03
Au (0.6264, 0.1264, 0.0000)  0.02
Au (0.3736, 0.8736, 0.0000)  0.02
Ti (0.8359, 0.3359, 0.5000)  0.51
Ti (0.6641, 0.8359, 0.5000)  0.49
Ti (0.1641, 0.6641, 0.5000)  0.51
Ti (0.3359, 0.1641, 0.5000)  0.49
La (0.5000, 0.5000, 0.0000)  0.02
La (0.0000, 0.0000, 0.0000)  0.02

Entry 7:
DFT (PBE) results for crystalline LaTiAu at its relaxed geometry.

Results
N(E_F)	6.68	states/eV/cell
final energy	-5.596	eV per atom
E_form	-0.23	eV per atom
relative energy among the computed polymorphs	141	meV per atom
size of the total moment	0.00	Bohr magnetons per cell

abc: 4.3213 6.0311 5.9763
angles: 89.99 90.01 111.04
Sites, in units of the cell vectors:
La (0.6574, 0.6014, 0.4966)
La (0.0658, 0.4182, 0.9965)
Au (0.3614, 0.0097, 0.7468)
Au (0.3616, 0.0100, 0.2468)
Ti (0.7998, 0.8864, 0.9968)
Ti (0.9232, 0.1332, 0.4968)

Entry 8:
DFT (PBE) results for crystalline LaTiAu at its relaxed geometry.

Results
N(E_F)	2.00	states/eV/cell
final energy	-5.208	eV per atom
E_form	0.16	eV per atom
relative energy among the computed polymorphs	530	meV per atom
size of the total moment	0.00	Bohr magnetons per cell

abc: 4.6907 4.6907 4.6907
angles: 60.00 60.00 60.00
Sites, in units of the cell vectors:
Au (0.7500, 0.7500, 0.7500)
La (0.2500, 0.2500, 0.2500)
Ti (0.5000, 0.5000, 0.5000)

Entry 9:
DFT (PBE) results for crystalline LaTiAu at its relaxed geometry.

Results
N(E_F)	7.60	states/eV/cell
final energy	-5.650	eV per atom
E_form	-0.28	eV per atom
relative energy among the computed polymorphs	87	meV per atom
size of the total moment	0.00	Bohr magnetons per cell

abc: 4.5487 6.0312 5.6628
angles: 90.66 90.00 67.86
Sites, in units of the cell vectors:
La (0.6590, 0.6573, 0.4462)
La (0.2422, 0.4913, 0.9590)
Au (0.9551, 0.0654, 0.1663)
Au (0.3750, 0.2254, 0.4679)
Ti (0.5225, 0.9306, 0.9463)
Ti (0.9516, 0.0720, 0.6628)

Entry 10:
DFT (PBE) results for crystalline LaTiAu at its relaxed geometry.

Results
N(E_F)	5.47	states/eV/cell
final energy	-4.802	eV per atom
E_form	0.56	eV per atom
relative energy among the computed polymorphs	935	meV per atom
size of the total moment	2.02	Bohr magnetons per cell

abc: 4.8848 4.8848 4.8848
angles: 60.00 60.00 60.00
Site moments in Bohr magnetons follow the coordinates.
Sites, in units of the cell vectors:
Au (0.7500, 0.7500, 0.7500)  0.00
Ti (0.2500, 0.2500, 0.2500)  1.40
La (0.0000, 0.0000, 0.0000)  0.23

Entry 11:
DFT (PBE) results for crystalline LaTiAu at its relaxed geometry.

Results
N(E_F)	15.81	states/eV/cell
final energy	-5.559	eV per atom
E_form	-0.19	eV per atom
relative energy among the computed polymorphs	179	meV per atom
size of the total moment	0.00	Bohr magnetons per cell

abc: 7.5813 3.2446 11.3093
angles: 90.00 90.00 90.00
Sites, in units of the cell vectors:
La (0.8261, 0.2500, 0.4009)
La (0.6739, 0.7500, 0.9009)
La (0.1739, 0.7500, 0.5991)
La (0.3261, 0.2500, 0.0991)
Ti (0.0735, 0.7500, 0.9043)
Ti (0.9265, 0.2500, 0.0957)
Ti (0.4265, 0.2500, 0.4043)
Ti (0.5735, 0.7500, 0.5957)
Au (0.3448, 0.2500, 0.8052)
Au (0.6552, 0.7500, 0.1948)
Au (0.8448, 0.2500, 0.6948)
Au (0.1552, 0.7500, 0.3052)

Entry 12:
DFT (PBE) results for crystalline LaTiAu at its relaxed geometry.

Results
N(E_F)	7.41	states/eV/cell
final energy	-5.278	eV per atom
E_form	0.09	eV per atom
relative energy among the computed polymorphs	459	meV per atom
size of the total moment	0.00	Bohr magnetons per cell

abc: 4.2724 4.2724 7.7009
angles: 90.00 90.00 90.00
Sites, in units of the cell vectors:
Au (0.5000, 0.0000, 0.1928)
Au (0.0000, 0.5000, 0.8072)
Ti (0.5000, 0.0000, 0.8691)
Ti (0.0000, 0.5000, 0.1309)
La (0.0000, 0.0000, 0.5000)
La (0.5000, 0.5000, 0.5000)

Entry 13:
DFT (PBE) results for crystalline LaTiAu at its relaxed geometry.

Results
N(E_F)	7.08	states/eV/cell
final energy	-5.716	eV per atom
E_form	-0.35	eV per atom
relative energy among the computed polymorphs	21	meV per atom
size of the total moment	2.25	Bohr magnetons per cell

abc: 3.5666 8.5604 4.8211
angles: 73.64 90.00 90.21
Site moments in Bohr magnetons follow the coordinates.
Sites, in units of the cell vectors:
Au (0.1239, 0.2610, 0.1112)  0.02
Au (0.1188, 0.7586, 0.3625)  0.02
Ti (0.6214, 0.0098, 0.2370)  0.47
Ti (0.1214, 0.0098, 0.7370)  1.11
La (0.6253, 0.3600, 0.5617)  0.04
La (0.6174, 0.6596, 0.9120)  0.04

Entry 14:
DFT (PBE) results for crystalline LaTiAu at its relaxed geometry.

Results
N(E_F)	9.34	states/eV/cell
final energy	-5.710	eV per atom
E_form	-0.34	eV per atom
relative energy among the computed polymorphs	27	meV per atom
size of the total moment	0.00	Bohr magnetons per cell

abc: 7.9842 4.6474 7.6475
angles: 90.00 90.00 90.00
Sites, in units of the cell vectors:
La (0.0159, 0.2500, 0.8356)
La (0.5159, 0.2500, 0.6644)
La (0.9841, 0.7500, 0.1644)
La (0.4841, 0.7500, 0.3356)
Ti (0.1420, 0.2500, 0.4304)
Ti (0.6420, 0.2500, 0.0696)
Ti (0.3580, 0.7500, 0.9304)
Ti (0.8580, 0.7500, 0.5696)
Au (0.1945, 0.7500, 0.6117)
Au (0.8055, 0.2500, 0.3883)
Au (0.6945, 0.7500, 0.8883)
Au (0.3055, 0.2500, 0.1117)

Entry 15:
DFT (PBE) results for crystalline LaTiAu at its relaxed geometry.

Results
N(E_F)	4.52	states/eV/cell
final energy	-5.659	eV per atom
E_form	-0.29	eV per atom
relative energy among the computed polymorphs	78	meV per atom
size of the total moment	0.00	Bohr magnetons per cell

abc: 5.9687 4.8916 5.9687
angles: 65.80 87.21 65.80
Sites, in units of the cell vectors:
Ti (0.9223, 0.9166, 0.7323)
Ti (0.7638, 0.4166, 0.8908)
Au (0.3237, 0.5430, 0.0786)
Au (0.1101, 0.0430, 0.2922)
La (0.3365, 0.2352, 0.6812)
La (0.7127, 0.7352, 0.3050)

Entry 16:
DFT (PBE) results for crystalline LaTi3Au at its relaxed geometry.

Results
N(E_F)	7.69	states/eV/cell
final energy	-5.908	eV per atom
E_form	0.47	eV per atom
relative energy among the computed polymorphs	0	meV per atom
size of the total moment	2.35	Bohr magnetons per cell

abc: 5.0203 5.0203 5.0203
angles: 90.00 90.00 90.00
Site moments in Bohr magnetons follow the coordinates.
Sites, in units of the cell vectors:
Ti (0.0000, 0.0000, 0.5000)  0.52
Ti (0.5000, 0.0000, 0.0000)  0.68
Ti (0.0000, 0.5000, 0.0000)  0.43
Au (0.0000, 0.0000, 0.0000)  0.02
La (0.5000, 0.5000, 0.5000)  0.16

Entry 17:
DFT (PBE) results for crystalline LaZrTi2Au at its relaxed geometry.

Results
N(E_F)	6.64	states/eV/cell
final energy	-5.596	eV per atom
E_form	0.91	eV per atom
size of the total moment	2.00	Bohr magnetons per cell

abc: 4.8709 5.6358 4.8709
angles: 90.00 90.00 90.00
Site moments in Bohr magnetons follow the coordinates.
Sites, in units of the cell vectors:
La (0.0000, 0.5000, 0.0000)  0.04
Au (0.5000, 0.5000, 0.5000)  0.02
Ti (0.0000, 0.0000, 0.5000)  0.54
Ti (0.5000, 0.0000, 0.0000)  0.83
Zr (0.0000, 0.0000, 0.0000)  0.09

Entry 18:
DFT (PBE) results for crystalline LaTlAu10 at its relaxed geometry.

Results
N(E_F)	5.55	states/eV/cell
final energy	-3.572	eV per atom
E_form	-0.23	eV per atom
size of the total moment	0.00	Bohr magnetons per cell

abc: 4.6980 5.7140 9.7217
angles: 90.00 90.00 90.00
Sites, in units of the cell vectors:
Au (0.5000, 0.7595, 0.2387)
Au (0.5000, 0.2405, 0.7613)
Au (0.0000, 0.0000, 0.6641)
Au (0.5000, 0.5000, 0.0000)
Au (0.0000, 0.5000, 0.1733)
Au (0.5000, 0.2405, 0.2387)
Au (0.5000, 0.7595, 0.7613)
Au (0.5000, 0.0000, 0.5000)
Au (0.0000, 0.5000, 0.8267)
Au (0.0000, 0.0000, 0.3359)
Tl (0.0000, 0.5000, 0.5000)
La (0.0000, 0.0000, 0.0000)

Entry 19:
DFT (PBE) results for crystalline LaTl3Au at its relaxed geometry.

Results
N(E_F)	8.53	states/eV/cell
final energy	-2.269	eV per atom
E_form	0.79	eV per atom
relative energy among the computed polymorphs	684	meV per atom
size of the total moment	0.00	Bohr magnetons per cell

abc: 6.1877 6.1877 6.1877
angles: 90.00 90.00 90.00
Sites, in units of the cell vectors:
La (0.0000, 0.0000, 0.0000)
Au (0.5000, 0.5000, 0.5000)
Tl (0.5000, 0.0000, 0.0000)
Tl (0.0000, 0.0000, 0.5000)
Tl (0.0000, 0.5000, 0.0000)

Entry 20:
DFT (PBE) results for crystalline La2TlAu2 at its relaxed geometry.

Results
N(E_F)	2.67	states/eV/cell
final energy	-4.280	eV per atom
E_form	-0.52	eV per atom
size of the total moment	0.00	Bohr magnetons per cell

abc: 5.7644 5.7644 6.1072
angles: 61.84 61.84 90.00
Sites, in units of the cell vectors:
Tl (0.0000, 0.0000, 0.0000)
La (0.2500, 0.7500, 0.5000)
La (0.7500, 0.2500, 0.5000)
Au (0.3558, 0.3558, 0.2884)
Au (0.6442, 0.6442, 0.7116)

Entry 21:
DFT (PBE) results for crystalline La8TlAu2 at its relaxed geometry.

Results
N(E_F)	12.47	states/eV/cell
final energy	-4.751	eV per atom
E_form	-0.36	eV per atom
relative energy among the computed polymorphs	0	meV per atom
size of the total moment	0.00	Bohr magnetons per cell

abc: 5.4679 7.0311 10.2057
angles: 110.12 105.53 90.00
Sites, in units of the cell vectors:
La (0.5360, 0.7355, 0.7084)
La (0.9635, 0.0020, 0.5644)
La (0.1371, 0.5607, 0.9093)
La (0.7369, 0.9364, 0.1098)
La (0.3084, 0.3454, 0.2533)
La (0.9214, 0.4036, 0.4802)
La (0.6370, 0.3109, 0.9093)
La (0.3510, 0.8321, 0.3382)
Tl (0.1365, 0.0308, 0.9088)
Au (0.4752, 0.2609, 0.5885)
Au (0.7968, 0.5816, 0.2299)

Entry 22:
DFT (PBE) results for crystalline La2Tl2Au at its relaxed geometry.

Results
N(E_F)	9.16	states/eV/cell
final energy	-3.876	eV per atom
E_form	-0.30	eV per atom
relative energy among the computed polymorphs	194	meV per atom
size of the total moment	0.00	Bohr magnetons per cell

abc: 7.9406 7.9406 5.1155
angles: 90.00 90.00 90.00
Sites, in units of the cell vectors:
Au (0.0000, 0.0000, 0.0000)
Au (0.5000, 0.5000, 0.0000)
Tl (0.1515, 0.6515, 0.5000)
Tl (0.6515, 0.8485, 0.5000)
Tl (0.3485, 0.1515, 0.5000)
Tl (0.8485, 0.3485, 0.5000)
La (0.6508, 0.1508, 0.0000)
La (0.1508, 0.3492, 0.0000)
La (0.3492, 0.8492, 0.0000)
La (0.8492, 0.6508, 0.0000)

Entry 23:
DFT (PBE) results for crystalline La3TlAu5 at its relaxed geometry.

Results
N(E_F)	11.47	states/eV/cell
final energy	-4.456	eV per atom
E_form	-0.73	eV per atom
size of the total moment	0.00	Bohr magnetons per cell

abc: 6.4308 9.0498 9.0504
angles: 120.00 90.00 90.00
Sites, in units of the cell vectors:
Au (0.2500, 0.0000, 0.6853)
Au (0.5000, 0.3333, 0.6667)
Au (0.0000, 0.6667, 0.3333)
Au (0.2500, 0.6853, 0.0000)
Au (0.7500, 0.3147, 0.0000)
Au (0.2500, 0.3147, 0.3147)
Au (0.7500, 0.6853, 0.6853)
Au (0.5000, 0.6667, 0.3333)
Au (0.7500, 0.0000, 0.3147)
Au (0.0000, 0.3333, 0.6667)
La (0.7500, 0.3532, 0.3533)
La (0.2500, 0.3533, 0.0000)
La (0.7500, 0.6467, 0.0000)
La (0.2500, 0.6468, 0.6467)
La (0.7500, 0.0000, 0.6467)
La (0.2500, 0.0000, 0.3533)
Tl (0.5000, 0.0000, 0.0000)
Tl (0.0000, 0.0000, 0.0000)

Entry 24:
DFT (PBE) results for crystalline LaTl3Au3 at its relaxed geometry.

Results
N(E_F)	15.59	states/eV/cell
final energy	-2.909	eV per atom
E_form	0.21	eV per atom
size of the total moment	0.64	Bohr magnetons per cell

abc: 7.6962 7.6962 7.6962
angles: 90.00 90.00 90.00
Site moments in Bohr magnetons follow the coordinates.
Sites, in units of the cell vectors:
Tl (0.0000, 0.5000, 0.7500)  0.00
Tl (0.2500, 0.0000, 0.5000)  0.00
Tl (0.5000, 0.7500, 0.0000)  0.00
Tl (0.0000, 0.5000, 0.2500)  0.00
Tl (0.5000, 0.2500, 0.0000)  0.00
Tl (0.7500, 0.0000, 0.5000)  0.00
Au (0.5000, 0.0000, 0.2500)  0.00
Au (0.2500, 0.5000, 0.0000)  0.00
Au (0.0000, 0.2500, 0.5000)  0.00
Au (0.0000, 0.7500, 0.5000)  0.00
Au (0.5000, 0.0000, 0.7500)  0.00
Au (0.7500, 0.5000, 0.0000)  0.00
La (0.5000, 0.5000, 0.5000)  -0.21
La (0.0000, 0.0000, 0.0000)  -0.21